# CrBiO5

A geometry-optimized CrBiO5 structure (PBE+U, Alexandria via LeMat-Bulk).

Values from the calculation:
magnetic moment	0.00	μB/cell
E_tot	-6.1773	eV per atom
V	16.14	Å³/atom
excess energy over the best structure of this formula in the dataset	0.0	meV/atom

Unit cell a=7.3245 b=7.3245 c=4.2106 alpha=90.00 beta=90.00 gamma=90.00
Space group P4/nmm (No. 129, origin choice 2)
One atom of each set of equivalent atoms:
Cr (0.2500, 0.7500, 0.0000) [2 per cell]
Bi (0.2500, 0.2500, 0.2162) [2 per cell]
O (0.0644, 0.7500, 0.7709) [8 per cell]
O (0.2500, 0.2500, 0.7146) [2 per cell]